Entry 1:
Below is TlZn2Br after structural relaxation, with properties calculated at the PBE level.

Geometry as POSCAR:
```
TlZn2Br
1.0
5.6487 0.0014 0.0000
1.2092 5.5178 0.0000
-3.4290 -2.7596 3.5405
Zn Br Tl
2 1 1
Direct
0.2500 0.7500 0.5000
0.0000 0.0000 0.0000
0.5000 0.5000 0.0000
0.7500 0.2500 0.5000
```

For the energy above the lowest structure with this stoichiometry, the calculation gives 160 meV per atom. Its space-group type is I-4m2 (119). The volume comes out at 27.59 Å³/atom. Its density of states at the Fermi level is 0.1148 states/eV/atom.

Entry 2:
Below is MgAlIn2 after structural relaxation, with properties calculated at the PBE level.

Geometry as POSCAR:
```
MgAlIn2
1.0
-3.4228 4.3263 -0.9154
-4.1955 2.0707 -3.0628
-4.2897 -1.3842 2.9977
In Al Mg
2 1 1
Direct
0.9911 0.9911 0.0245
0.7566 0.7566 0.7284
0.2428 0.2428 0.2409
0.5095 0.5095 0.5062
```

Its energy of formation from the pure elements is 0.06 eV per atom. Its space-group type is Cm (8). The volume comes out at 22.77 Å³/atom. Its density of states at the Fermi level is 0.4505 states/eV/atom.

Entry 3:
Below is Pr3YHg4 after structural relaxation, with properties calculated at the PBE level.

Geometry as POSCAR:
```
Pr3YHg4
1.0
-0.3636 -3.7898 -0.2050
3.4625 -0.4155 1.5412
-6.3098 -0.1590 14.1331
Pr Hg Y
3 4 1
Direct
0.5000 0.5000 0.2452
0.5000 0.5000 0.7548
0.5000 0.5000 0.5000
0.0000 0.0000 0.1136
0.0000 0.0000 0.8864
0.0000 0.0000 0.3735
0.0000 0.0000 0.6265
0.5000 0.5000 0.0000
```

Its energy of formation from the pure elements is -0.48 eV per atom. Its space-group type is P4/mmm (123). The volume comes out at 28.13 Å³/atom. Its density of states at the Fermi level is 1.0779 states/eV/atom.

Entry 4:
Below is Nd6Sm2Y3In after structural relaxation, with properties calculated at the PBE level.

Geometry as POSCAR:
```
Nd6Sm2Y3In
1.0
6.2430 -0.0076 -0.0007
-3.1265 5.4037 -0.0007
-1.0466 -1.8122 11.7284
In Nd Y Sm
1 6 3 2
Direct
0.0000 0.0000 0.0000
0.4088 0.0826 0.2486
0.7568 0.7568 0.2495
0.9174 0.5912 0.7514
0.5912 0.9174 0.7514
0.2432 0.2432 0.7505
0.0826 0.4088 0.2486
0.5000 0.5000 0.5000
0.1670 0.8330 0.5000
0.8330 0.1670 0.5000
0.6664 0.3336 0.0000
0.3336 0.6664 0.0000
```

Its energy of formation from the pure elements is -0.05 eV per atom. Its space-group type is C2/m (12). The volume comes out at 32.95 Å³/atom. Its density of states at the Fermi level is 1.1717 states/eV/atom.

Entry 5:
Below is CuHPd3 after structural relaxation, with properties calculated at the PBE level.

Geometry as POSCAR:
```
CuHPd3
1.0
2.8336 0.0000 0.0000
0.0000 3.8277 -2.8418
0.0000 3.8277 2.8418
H Pd Cu
1 3 1
Direct
0.5000 0.9548 0.0452
0.0000 0.1822 0.8178
0.5000 0.1622 0.3283
0.5000 0.6717 0.8378
0.0000 0.6571 0.3429
```

For the energy above the lowest structure with this stoichiometry, the calculation gives 24 meV per atom. Its space-group type is Amm2 (38). The volume comes out at 12.33 Å³/atom. Its density of states at the Fermi level is 0.4568 states/eV/atom.

Entry 6:
Below is LaPr2TlRu after structural relaxation, with properties calculated at the PBE level.

Geometry as POSCAR:
```
LaPr2TlRu
1.0
5.5432 0.0000 0.0000
0.0000 5.5433 0.0000
0.0000 0.0002 5.3805
Ru Pr Tl La
1 2 1 1
Direct
0.0000 0.0000 0.0282
0.0000 0.5000 0.9854
0.5000 0.0000 0.9854
0.5000 0.5000 0.5088
0.0000 0.0000 0.4921
```

Its energy of formation from the pure elements is -0.19 eV per atom. Its space-group type is P4mm (99). The volume comes out at 33.07 Å³/atom. Its density of states at the Fermi level is 0.9656 states/eV/atom.

Entry 7:
Below is PrNd2YH after structural relaxation, with properties calculated at the PBE level.

Geometry as POSCAR:
```
PrNd2YH
1.0
-3.8196 -1.6814 2.9519
-0.7149 -3.9946 -3.2005
3.3595 -2.8043 2.7497
Pr Nd H Y
1 2 1 1
Direct
0.5000 0.5000 0.5000
0.0000 0.0000 0.5000
0.0000 0.5000 0.0000
0.0000 0.0000 0.0000
0.5000 0.0000 0.0000
```

Its space-group type is P4/mmm (123). The volume comes out at 27.31 Å³/atom. Its density of states at the Fermi level is 0.8374 states/eV/atom.

Entry 8:
Below is Ac2NdErSe6 after structural relaxation, with properties calculated at the PBE level.

Geometry as POSCAR:
```
Ac2NdErSe6
1.0
-0.2092 6.6252 3.7622
-2.2804 0.1828 7.2706
5.3722 1.3467 5.6459
Se Nd Ac Er
6 1 2 1
Direct
0.0941 0.4562 0.7585
0.1838 0.9443 0.2653
0.6913 0.0940 0.7585
0.6065 0.1838 0.2654
0.4562 0.6913 0.7584
0.9443 0.6066 0.2654
0.3157 0.3157 0.0528
0.5252 0.5252 0.4245
0.0266 0.0266 0.9202
0.8179 0.8179 0.5462
```

Its space-group type is R3 (146). The volume comes out at 33.07 Å³/atom. Its density of states at the Fermi level is 0.0000 states/eV/atom.

Entry 9:
Below is FeTcTe2 after structural relaxation, with properties calculated at the PBE level.

Geometry as POSCAR:
```
FeTcTe2
1.0
7.6284 -0.1744 0.0240
6.0485 4.6517 -0.0240
-6.7603 -2.4776 2.5267
Te Fe Tc
2 1 1
Direct
0.7584 0.2584 0.5000
0.0065 0.0065 0.0000
0.5648 0.5648 0.0000
0.1703 0.6703 0.5000
```

For the energy above the lowest structure with this stoichiometry, the calculation gives 267 meV per atom. Its space-group type is Imm2 (44). The volume comes out at 23.06 Å³/atom. Its density of states at the Fermi level is 0.7753 states/eV/atom.

Entry 10:
Below is KPrGe4 after structural relaxation, with properties calculated at the PBE level.

Geometry as POSCAR:
```
KPrGe4
1.0
-1.4599 5.6268 -0.0231
-5.2028 1.6447 -2.0044
-4.0439 1.9687 3.6828
Ge Pr K
4 1 1
Direct
0.6297 0.1109 0.6297
0.1109 0.6297 0.6297
0.6297 0.6297 0.1109
0.6297 0.6297 0.6297
0.0000 0.0000 0.0000
0.2500 0.2500 0.2500
```

Its energy of formation from the pure elements is -0.24 eV per atom. Its space-group type is F-43m (216). The volume comes out at 23.15 Å³/atom.

Entry 11:
Below is YSiCl2 after structural relaxation, with properties calculated at the PBE level.

Geometry as POSCAR:
```
YSiCl2
1.0
5.9784 0.0081 0.0000
3.2734 5.0027 0.0000
-4.6259 -2.5054 2.8400
Cl Y Si
2 1 1
Direct
0.0000 0.0000 0.0000
0.2500 0.7500 0.5000
0.7500 0.2500 0.5000
0.5000 0.5000 0.0000
```

For the energy above the lowest structure with this stoichiometry, the calculation gives 397 meV per atom. Its space-group type is I-4m2 (119). The volume comes out at 21.22 Å³/atom. Its density of states at the Fermi level is 0.4536 states/eV/atom.

Entry 12:
Below is Mg6MnSn after structural relaxation, with properties calculated at the PBE level.

Geometry as POSCAR:
```
Mg6MnSn
1.0
-0.6681 6.0499 -1.6872
-1.2661 -4.6916 -4.0349
-4.7513 -0.0822 1.5865
Mg Sn Mn
6 1 1
Direct
0.3336 0.1691 0.5000
0.6734 0.3266 0.0000
0.1651 0.8349 0.0000
0.6776 0.8424 0.0000
0.1576 0.3224 0.0000
0.8309 0.6664 0.5000
0.3307 0.6693 0.5000
0.8311 0.1689 0.5000
```

Its energy of formation from the pure elements is 0.04 eV per atom. For the energy above the lowest structure with this stoichiometry, the calculation gives 0 meV per atom. Its space-group type is Amm2 (38). The volume comes out at 21.35 Å³/atom. Its density of states at the Fermi level is 0.4852 states/eV/atom.

no.,total energy (eV per cell)
1,-6.53
2,-10.56
3,-25.83
4,-60.73
5,-23.32
6,-27.06
7,-25.01
8,-57.58
9,-24.10
10,-25.79
11,-18.18
12,-22.41